Record 1
Density functional theory data (PBE) for a relaxed AcNbGe2Ru crystal.

The structure in CIF format:
```
data_AcNbGe2Ru
_chemical_formula_sum 'Ac2 Nb2 Ge4 Ru2'
_space_group_name_H-M_alt 'I -4 m 2'
_space_group_IT_number 119
_space_group_name_Hall 'I -4 -2'
_cell_length_a 4.245
_cell_length_b 4.245
_cell_length_c 11.656
_cell_angle_alpha 90.00
_cell_angle_beta 90.00
_cell_angle_gamma 90.00
loop_
_atom_site_label
_atom_site_fract_x
_atom_site_fract_y
_atom_site_fract_z
Ac1 0.000 0.000 0.000
Nb1 0.000 0.500 0.250
Ge1 0.000 0.000 0.380
Ru1 0.000 0.500 0.750
```

## Properties
Magnetization = 0.000 μB per atom
E = -7.04 eV/atom

Record 2
Density functional theory data (PBE) for a relaxed AcNbTcGe2 crystal.

The structure in CIF format:
```
data_AcNbTcGe2
_chemical_formula_sum 'Ac2 Nb2 Tc2 Ge4'
_space_group_name_H-M_alt 'I -4 m 2'
_space_group_IT_number 119
_space_group_name_Hall 'I -4 -2'
_cell_length_a 4.208
_cell_length_b 4.208
_cell_length_c 11.941
_cell_angle_alpha 90.00
_cell_angle_beta 90.00
_cell_angle_gamma 90.00
loop_
_atom_site_label
_atom_site_fract_x
_atom_site_fract_y
_atom_site_fract_z
Ac1 0.000 0.000 0.000
Nb1 0.000 0.500 0.750
Tc1 0.000 0.500 0.250
Ge1 0.000 0.000 0.381
```

## Properties
Magnetization = 0.000 μB per atom
E = -7.21 eV/atom

Record 3
Density functional theory data (PBE) for a relaxed Ac5Nd2Ge4 crystal.

The structure in CIF format:
```
data_Ac5Nd2Ge4
_chemical_formula_sum 'Ac10 Nd4 Ge8'
_space_group_name_H-M_alt 'C 1 2/m 1'
_space_group_IT_number 12
_cell_length_a 22.392
_cell_length_b 4.005
_cell_length_c 8.877
_cell_angle_alpha 90.00
_cell_angle_beta 94.85
_cell_angle_gamma 90.00
loop_
_space_group_symop_operation_xyz
'x,y,z'
'-x,-y,-z'
'-x,y,-z'
'x,-y,z'
'x+1/2,y+1/2,z'
'-x+1/2,-y+1/2,-z'
'-x+1/2,y+1/2,-z'
'x+1/2,-y+1/2,z'
loop_
_atom_site_label
_atom_site_fract_x
_atom_site_fract_y
_atom_site_fract_z
Ac1 0.000 0.000 0.000
Ac2 0.099 0.500 0.422
Ac3 0.163 0.500 0.967
Nd1 0.233 0.000 0.660
Ge1 0.032 0.500 0.732
Ge2 0.103 0.000 0.712
```

## Properties
Magnetization = 0.000 μB per atom
E = -4.69 eV/atom

Record 4
Density functional theory data (PBE) for a relaxed AcNdGe crystal.

The structure in CIF format:
```
data_AcNdGe
_chemical_formula_sum 'Ac2 Nd2 Ge2'
_space_group_name_H-M_alt 'P -1'
_space_group_IT_number 2
_cell_length_a 4.370
_cell_length_b 6.468
_cell_length_c 7.704
_cell_angle_alpha 77.03
_cell_angle_beta 73.57
_cell_angle_gamma 70.27
loop_
_space_group_symop_operation_xyz
'x,y,z'
'-x,-y,-z'
loop_
_atom_site_label
_atom_site_fract_x
_atom_site_fract_y
_atom_site_fract_z
Ac1 0.175 0.233 0.419
Nd1 0.414 0.299 0.872
Ge1 0.116 0.919 0.849
```

## Properties
Magnetization = 0.001 μB per atom
E = -4.96 eV/atom
Energy above the most stable polymorph in this dataset = 101 meV/atom

Record 5
Density functional theory data (PBE) for a relaxed Ac5Nd5Ge6 crystal.

The structure in CIF format:
```
data_Ac5Nd5Ge6
_chemical_formula_sum 'Ac10 Nd10 Ge12'
_space_group_name_H-M_alt 'A m m 2'
_space_group_IT_number 38
_cell_length_a 6.869
_cell_length_b 15.807
_cell_length_c 9.209
_cell_angle_alpha 90.00
_cell_angle_beta 90.00
_cell_angle_gamma 90.00
loop_
_space_group_symop_operation_xyz
'x,y,z'
'-x,-y,z'
'-x,y,z'
'x,-y,z'
'x,y+1/2,z+1/2'
'-x,-y+1/2,z+1/2'
'-x,y+1/2,z+1/2'
'x,-y+1/2,z+1/2'
loop_
_atom_site_label
_atom_site_fract_x
_atom_site_fract_y
_atom_site_fract_z
Ac1 0.000 0.000 0.000
Ac2 0.000 0.125 0.623
Ac3 0.500 0.126 0.873
Nd1 0.251 0.165 0.249
Nd2 0.500 0.000 0.492
Ge1 0.000 0.000 0.351
Ge2 0.000 0.199 0.947
Ge3 0.500 0.000 0.151
Ge4 0.500 0.193 0.546
```

## Properties
Magnetization = 0.000 μB per atom
E = -5.14 eV/atom

Record 6
Density functional theory data (PBE) for a relaxed AcNdGe crystal.

The structure in CIF format:
```
data_AcNdGe
_chemical_formula_sum 'Ac1 Nd1 Ge1'
_space_group_name_H-M_alt 'P 3 m 1'
_space_group_IT_number 156
_cell_length_a 4.3122
_cell_length_b 4.3122
_cell_length_c 7.0752
_cell_angle_alpha 90.00
_cell_angle_beta 90.00
_cell_angle_gamma 120.00
loop_
_space_group_symop_operation_xyz
'x,y,z'
'-y,x-y,z'
'-x+y,-x,z'
'-y,-x,z'
'-x+y,y,z'
'x,x-y,z'
loop_
_atom_site_label
_atom_site_fract_x
_atom_site_fract_y
_atom_site_fract_z
Ac1 0.0000 0.0000 0.0000
Nd1 0.6667 0.3333 0.5086
Ge1 0.3333 0.6667 0.7280
```

## Properties
Magnetization = 0.079 μB per atom
E = -4.86 eV/atom
Energy above the most stable polymorph in this dataset = 197 meV/atom

Record 7
Density functional theory data (PBE) for a relaxed Ac3Nd2Ge3 crystal.

The structure in CIF format:
```
data_Ac3Nd2Ge3
_chemical_formula_sum 'Ac6 Nd4 Ge6'
_space_group_name_H-M_alt 'I m m m'
_space_group_IT_number 71
_space_group_name_Hall '-I 2 2'
_cell_length_a 4.297
_cell_length_b 4.865
_cell_length_c 24.201
_cell_angle_alpha 90.00
_cell_angle_beta 90.00
_cell_angle_gamma 90.00
loop_
_atom_site_label
_atom_site_fract_x
_atom_site_fract_y
_atom_site_fract_z
Ac1 0.000 0.000 0.000
Ac2 0.000 0.500 0.117
Nd1 0.000 0.000 0.262
Ge1 0.000 0.000 0.500
Ge2 0.000 0.500 0.341
```

## Properties
Magnetization = 0.000 μB per atom
E = -4.93 eV/atom

Record 8
Density functional theory data (PBE) for a relaxed AcNdGe crystal.

The structure in CIF format:
```
data_AcNdGe
_chemical_formula_sum 'Ac3 Nd3 Ge3'
_space_group_name_H-M_alt 'P -6 2 m'
_space_group_IT_number 189
_space_group_name_Hall 'P -6 -2'
_cell_length_a 8.3690
_cell_length_b 8.3690
_cell_length_c 4.6195
_cell_angle_alpha 90.00
_cell_angle_beta 90.00
_cell_angle_gamma 120.00
loop_
_atom_site_label
_atom_site_fract_x
_atom_site_fract_y
_atom_site_fract_z
Ac1 0.0000 0.4107 0.0000
Nd1 0.0000 0.7435 0.5000
Ge1 0.0000 0.0000 0.0000
Ge2 0.3333 0.6667 0.5000
```

## Properties
Magnetization = 0.232 μB per atom
E = -5.06 eV/atom
Energy above the most stable polymorph in this dataset = 0 meV/atom

Record 9
Density functional theory data (PBE) for a relaxed Ac4NdGe4 crystal.

The structure in CIF format:
```
data_Ac4NdGe4
_chemical_formula_sum 'Ac8 Nd2 Ge8'
_space_group_name_H-M_alt 'P 42/n'
_space_group_IT_number 86
_cell_length_a 9.567
_cell_length_b 9.567
_cell_length_c 6.488
_cell_angle_alpha 90.00
_cell_angle_beta 90.00
_cell_angle_gamma 90.00
loop_
_space_group_symop_operation_xyz
'x,y,z'
'-x,-y,-z'
'-y,x+1/2,z+1/2'
'y,-x+1/2,-z+1/2'
'-x+1/2,-y+1/2,z'
'x+1/2,y+1/2,-z'
'y+1/2,-x,z+1/2'
'-y+1/2,x,-z+1/2'
loop_
_atom_site_label
_atom_site_fract_x
_atom_site_fract_y
_atom_site_fract_z
Ac1 0.046 0.677 0.117
Nd1 0.250 0.250 0.250
Ge1 0.006 0.623 0.602
```

## Properties
Magnetization = 0.000 μB per atom
E = -4.94 eV/atom

Record 10
Density functional theory data (PBE) for a relaxed Ac2Nd3Ge2 crystal.

The structure in CIF format:
```
data_Ac2Nd3Ge2
_chemical_formula_sum 'Ac4 Nd6 Ge4'
_space_group_name_H-M_alt 'C 1 2/m 1'
_space_group_IT_number 12
_cell_length_a 12.551
_cell_length_b 4.400
_cell_length_c 9.020
_cell_angle_alpha 90.00
_cell_angle_beta 112.96
_cell_angle_gamma 90.00
loop_
_space_group_symop_operation_xyz
'x,y,z'
'-x,-y,-z'
'-x,y,-z'
'x,-y,z'
'x+1/2,y+1/2,z'
'-x+1/2,-y+1/2,-z'
'-x+1/2,y+1/2,-z'
'x+1/2,-y+1/2,z'
loop_
_atom_site_label
_atom_site_fract_x
_atom_site_fract_y
_atom_site_fract_z
Ac1 0.154 0.000 0.307
Nd1 0.000 0.500 0.500
Nd2 0.130 0.500 0.943
Ge1 0.157 0.000 0.717
```

## Properties
Magnetization = 0.000 μB per atom
E = -5.02 eV/atom

Record 11
Density functional theory data (PBE) for a relaxed Ac3NdGe2 crystal.

The structure in CIF format:
```
data_Ac3NdGe2
_chemical_formula_sum 'Ac6 Nd2 Ge4'
_space_group_name_H-M_alt 'C 1 2/m 1'
_space_group_IT_number 12
_cell_length_a 18.018
_cell_length_b 4.725
_cell_length_c 4.886
_cell_angle_alpha 90.00
_cell_angle_beta 105.68
_cell_angle_gamma 90.00
loop_
_space_group_symop_operation_xyz
'x,y,z'
'-x,-y,-z'
'-x,y,-z'
'x,-y,z'
'x+1/2,y+1/2,z'
'-x+1/2,-y+1/2,-z'
'-x+1/2,y+1/2,-z'
'x+1/2,-y+1/2,z'
loop_
_atom_site_label
_atom_site_fract_x
_atom_site_fract_y
_atom_site_fract_z
Ac1 0.000 0.000 0.000
Ac2 0.182 0.500 0.182
Nd1 0.000 0.500 0.500
Ge1 0.131 0.000 0.630
```

## Properties
Magnetization = 0.001 μB per atom
E = -4.90 eV/atom

Record 12
Density functional theory data (PBE) for a relaxed Ac3Nd3Ge4 crystal.

The structure in CIF format:
```
data_Ac3Nd3Ge4
_chemical_formula_sum 'Ac6 Nd6 Ge8'
_space_group_name_H-M_alt 'A m m 2'
_space_group_IT_number 38
_cell_length_a 4.537
_cell_length_b 11.149
_cell_length_c 11.991
_cell_angle_alpha 90.00
_cell_angle_beta 90.00
_cell_angle_gamma 90.00
loop_
_space_group_symop_operation_xyz
'x,y,z'
'-x,-y,z'
'-x,y,z'
'x,-y,z'
'x,y+1/2,z+1/2'
'-x,-y+1/2,z+1/2'
'-x,y+1/2,z+1/2'
'x,-y+1/2,z+1/2'
loop_
_atom_site_label
_atom_site_fract_x
_atom_site_fract_y
_atom_site_fract_z
Ac1 0.000 0.000 0.000
Ac2 0.000 0.167 0.661
Nd1 0.000 0.000 0.333
Nd2 0.500 0.249 0.411
Ge1 0.500 0.000 0.517
Ge2 0.500 0.000 0.801
Ge3 0.500 0.118 0.173
```

## Properties
Magnetization = 0.000 μB per atom
E = -5.19 eV/atom